No. 1
The following is a DFT calculation (GGA-PBE) of an optimized crystal structure of Tm3ZrTl4S8.

Output
Spin magnetization in μB/cell: 0.0
Energy relative to the elements, uncorrected in kJ/mol of atoms: -132
Crystal system: monoclinic

Lattice parameters (Å, degrees): 7.7633 7.7633 9.0396 115.52 115.52 60.00
Fractional positions:
1 Tm 0.0000 0.0000 0.0000
2 Tm 0.0000 0.5000 0.0000
3 Tm 0.5000 0.0000 0.0000
4 Zr 0.5000 0.5000 0.0000
5 Tl 0.0000 0.0000 0.5000
6 Tl 0.0000 0.5000 0.5000
7 Tl 0.5000 0.0000 0.5000
8 Tl 0.5000 0.5000 0.5000
9 S 0.2306 0.2306 0.1911
10 S 0.2412 0.7233 0.1872
11 S 0.2767 0.2767 0.8128
12 S 0.2767 0.7588 0.8128
13 S 0.7233 0.2412 0.1872
14 S 0.7233 0.7233 0.1872
15 S 0.7588 0.2767 0.8128
16 S 0.7694 0.7694 0.8089

---

No. 2
The following is a DFT calculation (GGA-PBE) of an optimized crystal structure of Pd3PtAu4.

Output
Spin magnetization in μB/cell: 0.0
Crystal system: triclinic
E_form in eV/atom: 0.082

Lattice parameters (Å, degrees): 5.6315 7.4661 7.6719 73.67 68.75 78.84
Fractional positions:
1 Pd 0.0545 0.2926 0.0009
2 Pd 0.3162 0.9069 0.6690
3 Pd 0.3495 0.4273 0.3356
4 Pd 0.6505 0.5727 0.6644
5 Pd 0.6838 0.0931 0.3310
6 Pd 0.9455 0.7074 0.9991
7 Pt 0.4756 0.2338 0.6776
8 Pt 0.5244 0.7662 0.3224
9 Au 0.0226 0.7683 0.3159
10 Au 0.1548 0.5740 0.6676
11 Au 0.1923 0.0924 0.3240
12 Au 0.4485 0.7089 0.9979
13 Au 0.5515 0.2911 0.0021
14 Au 0.8077 0.9076 0.6760
15 Au 0.8452 0.4260 0.3324
16 Au 0.9774 0.2317 0.6841

---

No. 3
The following is a DFT calculation (GGA-PBE) of an optimized crystal structure of VBPtN2.

Output
Spin magnetization in μB/cell: 0.0
Energy relative to the elements, uncorrected in kJ/mol of atoms: 138
Crystal system: tetragonal

Lattice parameters (Å, degrees): 3.4692 3.4692 4.3169 90.00 90.00 90.00
Fractional positions:
1 V 0.0000 0.0000 0.0000
2 B 0.0000 0.0000 0.5000
3 Pt 0.5000 0.5000 0.0000
4 N 0.0000 0.5000 0.5000
5 N 0.5000 0.0000 0.5000

---

No. 4
The following is a DFT calculation (GGA-PBE) of an optimized crystal structure of Y2BeGa4Au3.

Output
Spin magnetization in μB/cell: 0.0
Crystal system: tetragonal
E_form in eV/atom: -0.526

Lattice parameters (Å, degrees): 4.1638 4.1638 11.0624 90.00 90.00 90.00
Fractional positions:
1 Y 0.0000 0.5000 0.2337
2 Y 0.5000 0.0000 0.7663
3 Be 0.5000 0.5000 0.0000
4 Ga 0.0000 0.0000 0.5000
5 Ga 0.0000 0.5000 0.8712
6 Ga 0.5000 0.0000 0.1288
7 Ga 0.5000 0.5000 0.5000
8 Au 0.0000 0.0000 0.0000
9 Au 0.0000 0.5000 0.6443
10 Au 0.5000 0.0000 0.3557

---

No. 5
The following is a DFT calculation (GGA-PBE) of an optimized crystal structure of KCrIn2Br6.

Output
Spin magnetization in μB/cell: 6.0
Energy relative to the elements, uncorrected in kJ/mol of atoms: -87
Crystal system: monoclinic

Lattice parameters (Å, degrees): 7.2527 8.5300 12.6986 90.00 121.02 90.00
Fractional positions:
1 K 0.0000 0.0000 0.0000
2 K 0.0000 0.5000 0.5000
3 Cr 0.5000 0.0000 0.5000
4 Cr 0.5000 0.5000 0.0000
5 In 0.1992 0.0689 0.7320
6 In 0.1992 0.4311 0.2320
7 In 0.8008 0.5689 0.7680
8 In 0.8008 0.9311 0.2680
9 Br 0.1808 0.1544 0.4749
10 Br 0.1808 0.3456 0.9749
11 Br 0.2699 0.7470 0.9204
12 Br 0.2699 0.7530 0.4204
13 Br 0.3991 0.0717 0.2831
14 Br 0.3991 0.4283 0.7831
15 Br 0.6009 0.5717 0.2169
16 Br 0.6009 0.9283 0.7169
17 Br 0.7301 0.2470 0.5796
18 Br 0.7301 0.2530 0.0796
19 Br 0.8192 0.6544 0.0251
20 Br 0.8192 0.8456 0.5251

---

No. 6
The following is a DFT calculation (GGA-PBE) of an optimized crystal structure of NaSrHf2Cr.

Output
Spin magnetization in μB/cell: 0.1
Crystal system: tetragonal
E_form in eV/atom: 2.468

Lattice parameters (Å, degrees): 5.1907 5.1907 4.8346 90.00 90.00 90.00
Fractional positions:
1 Na 0.0000 0.0000 0.0000
2 Sr 0.0000 0.0000 0.5000
3 Hf 0.0000 0.5000 0.5000
4 Hf 0.5000 0.0000 0.5000
5 Cr 0.5000 0.5000 0.0000

---

No. 7
The following is a DFT calculation (GGA-PBE) of an optimized crystal structure of Ca2LaRu.

Output
Spin magnetization in μB/cell: 0.0
Crystal system: tetragonal
E_form in eV/atom: 0.214

Lattice parameters (Å, degrees): 4.4319 4.4319 5.4324 90.00 90.00 90.00
Fractional positions:
1 Ca 0.0000 0.5000 0.0000
2 Ca 0.5000 0.0000 0.0000
3 La 0.0000 0.0000 0.5000
4 Ru 0.5000 0.5000 0.5000

---

No. 8
The following is a DFT calculation (GGA-PBE) of an optimized crystal structure of Mg3Ta.

Output
Spin magnetization in μB/cell: 0.0
Crystal system: orthorhombic
E_form in eV/atom: 0.304

Lattice parameters (Å, degrees): 2.9198 4.5435 6.1215 90.00 90.00 90.00
Fractional positions:
1 Mg 0.0000 0.0000 0.0000
2 Mg 0.5000 0.5000 0.2653
3 Mg 0.5000 0.5000 0.7347
4 Ta 0.0000 0.0000 0.5000